Here is an optimized crystal structure of Tl2PtC4N4 from OQMD. Energies are from PBE-GGA.

a b c (Å): 6.2735 7.3163 9.5527
angles (deg): 90.00 104.99 90.00
Last column: nearest neighbours and their distance in Å.
Atoms (fractional coordinates):
Tl 0.2294 0.8483 0.9188  5 N 2.79-3.02
Tl 0.7706 0.1517 0.0812  5 N 2.79-3.02
Tl 0.7294 0.6517 0.4188  5 N 2.79-3.02
Tl 0.2706 0.3483 0.5812  5 N 2.79-3.02
N 0.3288 0.2394 0.8940  1 C 1.18
N 0.8075 0.0028 0.8201  1 C 1.17
N 0.6925 0.5028 0.6799  1 C 1.17
N 0.1712 0.7394 0.6060  1 C 1.18
N 0.3075 0.4972 0.3201  1 C 1.17
N 0.1925 0.9972 0.1799  1 C 1.17
N 0.8288 0.2606 0.3940  1 C 1.18
N 0.6712 0.7606 0.1060  1 C 1.18
C 0.2089 0.3372 0.9351  1 N 1.18
C 0.3062 0.9977 0.2988  1 N 1.17
C 0.8062 0.5023 0.7988  1 N 1.17
C 0.1938 0.4977 0.2012  1 N 1.17
C 0.2911 0.8372 0.5649  1 N 1.18
C 0.7089 0.1628 0.4351  1 N 1.18
C 0.7911 0.6628 0.0649  1 N 1.18
C 0.6938 0.0023 0.7012  1 N 1.17
Pt 0.5000 0.0000 0.5000  4 C 1.99
Pt 0.0000 0.5000 0.0000  4 C 1.99

Calculated values
Uncorrected energy ... -7.19 eV/atom